## NaCa3Se (PBE-GGA)

Data for a geometry-optimized NaCa3Se structure.

Lattice parameters (Å, degrees): 5.758 5.758 5.758 90.00 90.00 90.00
Space group Pm-3m (No. 221)
Inequivalent atoms, fractional coordinates:
Na: 0.000 0.000 0.000 [1 per cell]
Ca: 0.000 0.500 0.500 [3 per cell]
Se: 0.500 0.500 0.500 [1 per cell]

* energy above the lowest structure with this stoichiometry: 0 meV per atom

## NaCa2Se2 (PBE-GGA)

Data for a geometry-optimized NaCa2Se2 structure.

Lattice parameters (Å, degrees): 5.623 5.623 13.856 90.00 90.00 90.00
Space group I4/mmm (No. 139)
Inequivalent atoms, fractional coordinates:
Na: 0.000 0.000 0.000 [2 per cell]
Ca: 0.000 0.500 0.250 [4 per cell]
Se: 0.000 0.000 0.206 [4 per cell]

* energy above the lowest structure with this stoichiometry: 116 meV per atom

## NaCa2Se2 (PBE-GGA)

Data for a geometry-optimized NaCa2Se2 structure.

Lattice parameters (Å, degrees): 8.052 8.052 3.956 90.00 90.00 90.00
Space group P4/mbm (No. 127)
Inequivalent atoms, fractional coordinates:
Na: 0.000 0.000 0.000 [2 per cell]
Ca: 0.153 0.347 0.500 [4 per cell]
Se: 0.155 0.655 0.000 [4 per cell]

* energy above the lowest structure with this stoichiometry: 0 meV per atom

## Na2Ca2Se (PBE-GGA)

Data for a geometry-optimized Na2Ca2Se structure.

Lattice parameters (Å, degrees): 7.751 7.751 6.404 90.00 90.00 90.00
Space group P4/mbm (No. 127)
Inequivalent atoms, fractional coordinates:
Na: 0.149 0.351 0.000 [4 per cell]
Ca: 0.178 0.678 0.500 [4 per cell]
Se: 0.000 0.000 0.500 [2 per cell]

* final energy: -2.5323 eV per atom

## NaCa3Se (PBE-GGA)

Data for a geometry-optimized NaCa3Se structure.

Lattice parameters (Å, degrees): 5.845 5.845 5.845 90.00 90.00 90.00
Space group Pm-3m (No. 221)
Inequivalent atoms, fractional coordinates:
Na: 0.000 0.000 0.000 [1 per cell]
Ca: 0.000 0.000 0.500 [3 per cell]
Se: 0.500 0.500 0.500 [1 per cell]

* energy above the lowest structure with this stoichiometry: 876 meV per atom

## Na2CaSe2 (PBE-GGA)

Data for a geometry-optimized Na2CaSe2 structure.

Lattice parameters (Å, degrees): 7.930 7.930 4.167 90.00 90.00 90.00
Space group P4/mbm (No. 127)
Inequivalent atoms, fractional coordinates:
Na: 0.129 0.371 0.000 [4 per cell]
Ca: 0.000 0.000 0.500 [2 per cell]
Se: 0.180 0.680 0.500 [4 per cell]

* energy above the lowest structure with this stoichiometry: 0 meV per atom

## Na2CaSe (PBE-GGA)

Data for a geometry-optimized Na2CaSe structure.

Lattice parameters (Å, degrees): 10.005 10.005 5.642 90.00 90.00 90.00
Space group I-42d (No. 122)
Inequivalent atoms, fractional coordinates:
Na: 0.143 0.250 0.125 [8 per cell]
Ca: 0.000 0.000 0.500 [4 per cell]
Se: 0.000 0.000 0.000 [4 per cell]

* final energy: -2.6544 eV per atom

## Na2CaSe2 (PBE-GGA)

Data for a geometry-optimized Na2CaSe2 structure.

Lattice parameters (Å, degrees): 4.115 4.115 14.681 90.00 90.00 90.00
Space group I4/mmm (No. 139)
Inequivalent atoms, fractional coordinates:
Na: 0.000 0.500 0.250 [4 per cell]
Ca: 0.000 0.000 0.000 [2 per cell]
Se: 0.000 0.000 0.385 [4 per cell]

* energy above the lowest structure with this stoichiometry: 27 meV per atom